Material: AcTm4Bi5
Method: DFT, PBE
State: relaxed

```
10
Lattice="-0.671 4.073 1.863 -2.920 -1.236 7.155 7.916 0.967 6.244" Properties=species:S:1:pos:R:3 pbc="T T T"
Ac 0.000 0.000 0.000
Tm 3.781 2.745 6.371
Tm 0.394 0.554 4.436
Tm 3.930 3.250 10.826
Tm 0.543 1.059 8.890
Bi 2.625 0.380 11.125
Bi 1.699 3.424 4.136
Bi 5.844 2.035 8.667
Bi 2.498 -0.135 6.699
Bi -1.520 1.769 6.595
```

Properties
Its space group is C2/m, No. 12. As for the crystal system: monoclinic. The total moment comes out at 0.00 μB per formula unit. For the calculated formation energy, the calculation gives -77 kJ per mole of atoms.

=====

Material: Cs2VI4
Method: DFT, PBE
State: relaxed

```
7
Lattice="5.798 0.000 0.000 0.000 5.798 0.000 2.899 2.899 9.512" Properties=species:S:1:pos:R:3 pbc="T T T"
Cs 2.899 2.899 2.696
Cs 5.798 5.798 6.815
I 2.899 2.899 6.635
I 5.798 5.798 2.877
I 0.000 2.899 0.000
I 2.899 0.000 0.000
V 0.000 0.000 0.000
```

Properties
The distance to the lowest polymorph of the same formula is 0.000 eV/atom. For the energy relative to the elements, uncorrected, the calculation gives -7.21 eV per formula unit. Its space group is I4/mmm, No. 139. As for the crystal system: tetragonal. The total moment comes out at 3.00 μB per formula unit.

=====

Material: GaMo3C
Method: DFT, PBE
State: relaxed

```
5
Lattice="4.151 0.000 0.000 0.000 4.151 0.000 0.000 0.000 4.151" Properties=species:S:1:pos:R:3 pbc="T T T"
Mo 0.000 2.076 0.000
Mo 0.000 0.000 2.076
Mo 2.076 0.000 0.000
C 0.000 0.000 0.000
Ga 2.076 2.076 2.076
```

Properties
The distance to the lowest polymorph of the same formula is 0.069 eV/atom. Its space group is Pm-3m, No. 221. As for the crystal system: cubic. The total moment comes out at 0.00 μB per formula unit. For the calculated formation energy, the calculation gives 9 kJ per mole of atoms.

=====

Material: KReCl2
Method: DFT, PBE
State: relaxed

```
4
Lattice="5.125 0.419 1.492 1.691 4.383 2.570 1.310 -0.274 5.185" Properties=species:S:1:pos:R:3 pbc="T T T"
Re 4.063 2.264 4.623
K 0.000 0.000 0.000
Cl 2.032 1.132 2.312
Cl 6.095 3.396 6.935
```

Properties
The distance to the lowest polymorph of the same formula is 0.478 eV/atom. For the energy relative to the elements, uncorrected, the calculation gives 1.59 eV per formula unit. Its space group is Fm-3m, No. 225. As for the crystal system: cubic. The total moment comes out at 6.00 μB per formula unit.

=====

Material: EuMgInGe
Method: DFT, PBE
State: relaxed

```
4
Lattice="-3.445 2.720 2.749 -5.044 -0.313 -1.132 -3.233 -2.432 3.233" Properties=species:S:1:pos:R:3 pbc="T T T"
Eu 0.000 0.000 0.000
Ge -2.931 -0.007 1.212
Mg -5.861 -0.013 2.425
In -8.792 -0.020 3.637
```

Properties
Its space group is F-43m, No. 216. As for the crystal system: cubic. The total moment comes out at 6.81 μB per formula unit. For the calculated formation energy, the calculation gives -29 kJ per mole of atoms.

=====

Material: NaInIO2
Method: DFT, PBE
State: relaxed

```
5
Lattice="-1.267 2.362 3.790 -4.249 -1.849 -0.268 1.805 -4.655 3.505" Properties=species:S:1:pos:R:3 pbc="T T T"
I 0.902 -2.328 1.752
Na 0.000 0.000 0.000
O -2.124 -0.925 -0.134
O -0.634 1.181 1.895
In -1.856 -2.072 3.513
```

Properties
The distance to the lowest polymorph of the same formula is 0.840 eV/atom. For the energy relative to the elements, uncorrected, the calculation gives 0.66 eV per formula unit. Its space group is P4/mmm, No. 123. As for the crystal system: tetragonal. The total moment comes out at 2.86 μB per formula unit.

=====

Material: SmPa2N4
Method: DFT, PBE
State: relaxed

```
14
Lattice="3.459 0.000 0.000 -1.729 5.784 0.000 0.000 0.000 10.794" Properties=species:S:1:pos:R:3 pbc="T T T"
Sm 1.729 1.264 8.095
Sm 0.000 4.519 2.698
Pa 0.000 1.512 4.625
Pa 1.729 4.271 10.022
Pa 0.000 1.512 0.771
Pa 1.729 4.271 6.168
N 1.729 3.140 1.143
N 1.729 3.140 4.254
N 0.000 2.644 9.651
N 0.000 2.644 6.540
N 1.729 5.366 8.095
N 0.000 0.418 2.698
N 1.729 0.000 0.000
N 1.729 0.000 5.397
```

Properties
For the energy relative to the elements, uncorrected, the calculation gives -11.13 eV per formula unit. Its space group is Cmcm, No. 63. As for the crystal system: orthorhombic. The total moment comes out at 0.00 μB per formula unit.

=====

Material: CaOs3O
Method: DFT, PBE
State: relaxed

```
5
Lattice="4.779 0.000 0.000 0.000 4.779 0.000 0.000 0.000 4.779" Properties=species:S:1:pos:R:3 pbc="T T T"
Ca 0.000 0.000 0.000
Os 0.000 2.389 0.000
Os 0.000 0.000 2.389
Os 2.389 0.000 0.000
O 2.389 2.389 2.389
```

Properties
The distance to the lowest polymorph of the same formula is 3.038 eV/atom. For the energy relative to the elements, uncorrected, the calculation gives 19.14 eV per formula unit. Its space group is Pm-3m, No. 221. As for the crystal system: cubic. The total moment comes out at 6.71 μB per formula unit.

=====

Material: CaMnCl2
Method: DFT, PBE
State: relaxed

```
4
Lattice="-0.131 3.452 -1.610 -4.668 -0.184 -0.016 -0.092 1.972 4.235" Properties=species:S:1:pos:R:3 pbc="T T T"
Ca -0.111 2.712 1.312
Mn -2.400 1.634 -0.813
Cl 0.000 0.000 0.000
Cl -2.380 0.894 2.110
```

Properties
The distance to the lowest polymorph of the same formula is 0.296 eV/atom. For the energy relative to the elements, uncorrected, the calculation gives -2.80 eV per formula unit. Its space group is P4/mmm, No. 123. As for the crystal system: tetragonal. The total moment comes out at 4.26 μB per formula unit.

=====

Material: Tb2Sm8Th
Method: DFT, PBE
State: relaxed

```
11
Lattice="4.935 0.000 -1.314 -0.530 7.819 -1.990 -0.097 -0.082 9.558" Properties=species:S:1:pos:R:3 pbc="T T T"
Tb 0.744 4.933 2.794
Tb 3.564 2.804 3.460
Sm 2.659 3.520 0.062
Sm 1.468 0.658 5.512
Sm 0.545 1.390 2.047
Sm -0.176 5.726 -0.659
Sm 3.763 6.347 4.207
Sm 2.840 7.079 0.742
Sm 1.649 4.217 6.192
Sm 4.484 2.011 6.913
Th 2.468 0.000 -0.657
```

Properties
The distance to the lowest polymorph of the same formula is 0.000 eV/atom. Its space group is C2/m, No. 12. As for the crystal system: monoclinic. The total moment comes out at 0.00 μB per formula unit. For the calculated formation energy, the calculation gives 3 kJ per mole of atoms.

=====

Material: CrSi4Pt
Method: DFT, PBE
State: relaxed

```
6
Lattice="0.000 3.486 3.486 3.486 0.000 3.486 3.486 3.486 0.000" Properties=species:S:1:pos:R:3 pbc="T T T"
Cr 5.229 5.229 5.229
Si 2.615 4.357 4.357
Si 4.357 4.357 2.615
Si 4.357 2.615 4.357
Si 2.615 2.615 2.615
Pt 0.000 0.000 0.000
```

Properties
For the energy relative to the elements, uncorrected, the calculation gives 2.24 eV per formula unit. Its space group is F-43m, No. 216. As for the crystal system: cubic. The total moment comes out at 2.38 μB per formula unit.

=====

Material: CsNiMoH2
Method: DFT, PBE
State: relaxed

```
5
Lattice="-2.622 2.744 -0.534 -5.036 -4.865 -0.264 -0.474 0.285 3.793" Properties=species:S:1:pos:R:3 pbc="T T T"
Cs -2.518 -2.432 -0.132
Ni -4.066 -0.918 1.497
Mo 0.000 0.000 0.000
H -0.237 0.143 1.896
H -1.311 1.372 -0.267
```

Properties
The uncorrected energy is -17.452 eV for the cell shown. Its space group is P4/mmm, No. 123. As for the crystal system: tetragonal. The total moment comes out at 3.72 μB per formula unit.

=====

Material: Ac2ScPbSe6
Method: DFT, PBE
State: relaxed

```
20
Lattice="-4.629 3.086 -4.553 2.014 -5.247 -5.603 -7.450 -6.322 3.242" Properties=species:S:1:pos:R:3 pbc="T T T"
Ac -0.260 -6.157 -4.399
Ac -6.887 -6.243 -3.419
Ac -9.806 -2.326 -2.515
Ac -3.178 -2.240 -3.496
Sc -2.315 1.543 -2.277
Sc -2.718 -5.784 -1.181
Pb -6.040 -1.618 -0.656
Pb 1.007 -2.624 -2.802
Se -0.654 -3.021 -5.233
Se -6.477 -5.202 -6.490
Se -9.412 -5.462 -1.682
Se -3.589 -3.281 -0.424
Se -3.363 -5.351 -3.766
Se -9.093 -7.774 -5.282
Se -6.703 -3.132 -3.149
Se -0.972 -0.709 -1.633
Se -4.825 -1.869 -6.106
Se -5.409 -8.728 -4.510
Se -5.240 -6.614 -0.809
Se -4.657 0.245 -2.405
```

Properties
For the energy relative to the elements, uncorrected, the calculation gives -14.94 eV per formula unit. Its space group is P2_1/c, No. 14. As for the crystal system: monoclinic. The total moment comes out at 0.00 μB per formula unit.

=====

Material: CeEr12Tl3
Method: DFT, PBE
State: relaxed

```
16
Lattice="4.809 0.000 0.000 0.000 4.809 0.000 0.000 0.000 19.714" Properties=species:S:1:pos:R:3 pbc="T T T"
Ce 0.000 0.000 0.000
Er 2.405 2.405 0.000
Er 2.405 2.405 5.021
Er 2.405 2.405 9.857
Er 2.405 2.405 14.693
Er 2.405 0.000 2.541
Er 2.405 0.000 7.429
Er 2.405 0.000 12.285
Er 2.405 0.000 17.173
Er 0.000 2.405 2.541
Er 0.000 2.405 7.429
Er 0.000 2.405 12.285
Er 0.000 2.405 17.173
Tl 0.000 0.000 5.051
Tl 0.000 0.000 9.857
Tl 0.000 0.000 14.663
```

Properties
Its space group is P4/mmm, No. 123. As for the crystal system: tetragonal. The total moment comes out at 0.00 μB per formula unit. For the calculated formation energy, the calculation gives -10 kJ per mole of atoms.

=====

Material: Na2AgPb8
Method: DFT, PBE
State: relaxed

```
11
Lattice="-2.306 3.255 2.906 0.218 -3.197 3.754 11.846 5.116 3.669" Properties=species:S:1:pos:R:3 pbc="T T T"
Na 3.753 1.621 1.163
Na 8.093 3.495 2.507
Ag 0.000 0.000 0.000
Pb 6.032 0.960 3.712
Pb 4.770 4.186 3.288
Pb 2.662 1.630 4.478
Pb 7.096 3.545 5.852
Pb 1.692 -0.915 2.367
Pb 0.430 2.311 1.943
Pb 10.372 2.834 5.056
Pb 9.110 6.061 4.632
```

Properties
Its space group is P4/mmm, No. 123. As for the crystal system: tetragonal. The total moment comes out at 0.00 μB per formula unit. For the calculated formation energy, the calculation gives -5 kJ per mole of atoms.

=====

Material: BiTeI2Cl
Method: DFT, PBE
State: relaxed

```
5
Lattice="6.030 0.000 0.000 0.000 6.030 0.000 0.000 0.000 6.328" Properties=species:S:1:pos:R:3 pbc="T T T"
I 0.000 3.015 0.000
I 3.015 0.000 0.000
Te 0.000 0.000 3.164
Bi 0.000 0.000 0.000
Cl 3.015 3.015 3.164
```

Properties
The distance to the lowest polymorph of the same formula is 0.000 eV/atom. For the energy relative to the elements, uncorrected, the calculation gives 1.01 eV per formula unit. Its space group is P4/mmm, No. 123. As for the crystal system: tetragonal. The total moment comes out at 2.04 μB per formula unit.

=====

Material: CaTaV2P
Method: DFT, PBE
State: relaxed

```
5
Lattice="4.549 0.000 0.000 0.000 4.734 0.000 0.000 0.000 4.549" Properties=species:S:1:pos:R:3 pbc="T T T"
P 0.000 0.000 0.000
Ca 2.274 2.367 2.274
V 0.000 0.000 2.274
V 2.274 0.000 0.000
Ta 0.000 2.367 0.000
```

Properties
Its space group is P4/mmm, No. 123. As for the crystal system: tetragonal. The total moment comes out at 2.48 μB per formula unit. For the calculated formation energy, the calculation gives 31 kJ per mole of atoms.

=====

Material: Cs2Mn2TlBr7
Method: DFT, PBE
State: relaxed

```
12
Lattice="5.427 -0.003 0.012 0.003 5.427 0.012 2.675 2.672 14.201" Properties=species:S:1:pos:R:3 pbc="T T T"
Cs 5.420 5.413 5.130
Cs 2.686 2.682 9.096
Mn 5.397 5.390 11.506
Mn 2.709 2.705 2.719
Tl 0.000 0.000 0.000
Br 2.715 2.712 0.012
Br 2.704 2.701 5.363
Br 5.402 5.395 8.862
Br 5.424 2.706 2.578
Br 2.712 5.420 2.578
Br 5.393 2.675 11.647
Br 2.682 5.390 11.647
```

Properties
For the energy relative to the elements, uncorrected, the calculation gives -13.48 eV per formula unit. Its space group is C2/m, No. 12. As for the crystal system: monoclinic. The total moment comes out at 10.00 μB per formula unit.

=====

Material: ZrBeW2
Method: DFT, PBE
State: relaxed

```
8
Lattice="-3.118 -1.365 -1.621 2.014 -2.806 -1.510 -2.251 -7.528 6.282" Properties=species:S:1:pos:R:3 pbc="T T T"
Be -0.552 -2.086 -1.566
Be -0.394 -6.210 1.603
Zr 0.000 0.000 0.000
Zr -2.960 -5.489 1.548
W -2.222 -3.069 0.388
W 0.269 -3.823 0.405
W -2.078 -7.244 3.519
W -2.678 -9.262 1.990
```

Properties
Its space group is I-42d, No. 122. As for the crystal system: tetragonal. The total moment comes out at 0.00 μB per formula unit. For the calculated formation energy, the calculation gives 64 kJ per mole of atoms.

=====

Material: CdRuAu2
Method: DFT, PBE
State: relaxed

```
4
Lattice="-3.966 -3.657 3.610 4.420 -1.849 -1.730 0.844 -0.489 2.676" Properties=species:S:1:pos:R:3 pbc="T T T"
Au 0.000 0.000 0.000
Au -1.561 -2.073 3.143
Cd 2.632 -1.169 0.473
Ru 0.227 -2.753 0.940
```

Properties
Its space group is Cmmm, No. 65. As for the crystal system: orthorhombic. The total moment comes out at 0.57 μB per formula unit. For the calculated formation energy, the calculation gives 20 kJ per mole of atoms.

=====

Material: Tb2YZr3N6
Method: DFT, PBE
State: relaxed

```
12
Lattice="5.800 0.003 0.000 -2.896 5.026 0.000 -0.969 -1.678 5.535" Properties=species:S:1:pos:R:3 pbc="T T T"
Tb 0.003 3.351 0.000
Tb 2.901 1.677 0.000
Y 0.000 0.000 0.000
Zr -1.933 3.350 2.767
Zr 3.868 0.000 2.767
Zr 0.968 1.675 2.767
N 2.898 1.678 4.046
N 1.938 3.356 1.488
N -0.963 1.672 1.488
N 0.005 3.349 4.046
N -0.003 -0.006 4.046
N 1.930 0.001 1.488
```

Properties
For the energy relative to the elements, uncorrected, the calculation gives -20.53 eV per formula unit. Its space group is C2/m, No. 12. As for the crystal system: monoclinic. The total moment comes out at 0.00 μB per formula unit.

=====

Material: LiSb2Te
Method: DFT, PBE
State: relaxed

```
4
Lattice="-2.745 1.811 0.572 -0.957 -2.566 -1.909 -1.849 -5.378 8.155" Properties=species:S:1:pos:R:3 pbc="T T T"
Li -3.232 -4.395 5.424
Sb -1.821 -5.296 8.031
Sb -2.249 -1.536 1.088
Te -1.022 -2.972 4.507
```

Properties
For the energy relative to the elements, uncorrected, the calculation gives -0.32 eV per formula unit. Its space group is Cmm2, No. 35. As for the crystal system: orthorhombic. The total moment comes out at 0.00 μB per formula unit.